Entry from Alexandria via LeMat-Bulk: a geometry-optimized Li6Ca12Mo4N16O3 structure (PBE with a Hubbard U).

```
Li6Ca12Mo4N16O3
1.0
-6.5639 6.5639 6.5639
6.5639 -6.5639 6.5639
6.5639 6.5639 -6.5639
Li Ca Mo N O
12 24 8 32 6
Direct
0.0250 0.2750 0.7500
0.2250 0.2500 0.4750
0.2500 0.4750 0.2250
0.2500 0.7750 0.5250
0.2750 0.7500 0.0250
0.4750 0.2250 0.2500
0.5250 0.2500 0.7750
0.7250 0.9750 0.7500
0.7500 0.0250 0.2750
0.7500 0.7250 0.9750
0.7750 0.5250 0.2500
0.9750 0.7500 0.7250
0.0383 0.4435 0.3301
0.0565 0.0948 0.8866
0.0948 0.8866 0.0565
0.1134 0.6699 0.2082
0.1699 0.6134 0.7082
0.2082 0.1134 0.6699
0.2918 0.9617 0.9052
0.3301 0.0383 0.4435
0.3866 0.5948 0.5565
0.4052 0.4617 0.7918
0.4435 0.3301 0.0383
0.4617 0.7918 0.4052
0.5383 0.8301 0.9435
0.5565 0.3866 0.5948
0.5948 0.5565 0.3866
0.6134 0.7082 0.1699
0.6699 0.2082 0.1134
0.7082 0.1699 0.6134
0.7918 0.4052 0.4617
0.8301 0.9435 0.5383
0.8866 0.0565 0.0948
0.9052 0.2918 0.9617
0.9435 0.5383 0.8301
0.9617 0.9052 0.2918
0.0000 0.2757 0.5000
0.0000 0.7757 0.5000
0.2243 0.2243 0.2243
0.2757 0.5000 0.0000
0.5000 0.0000 0.2757
0.5000 0.0000 0.7757
0.7243 0.7243 0.7243
0.7757 0.5000 0.0000
0.0000 0.1106 0.5000
0.0000 0.6106 0.5000
0.0513 0.9183 0.6836
0.0817 0.2653 0.1330
0.1106 0.5000 0.0000
0.1323 0.8670 0.4487
0.1330 0.0817 0.2653
0.1836 0.4183 0.5513
0.2347 0.3164 0.8677
0.2653 0.1330 0.0817
0.3164 0.8677 0.2347
0.3670 0.6323 0.9487
0.3677 0.8164 0.7347
0.3894 0.3894 0.3894
0.4183 0.5513 0.1836
0.4487 0.1323 0.8670
0.5000 0.0000 0.1106
0.5000 0.0000 0.6106
0.5513 0.1836 0.4183
0.5817 0.6330 0.7653
0.6106 0.5000 0.0000
0.6323 0.9487 0.3670
0.6330 0.7653 0.5817
0.6836 0.0513 0.9183
0.7347 0.3677 0.8164
0.7653 0.5817 0.6330
0.8164 0.7347 0.3677
0.8670 0.4487 0.1323
0.8677 0.2347 0.3164
0.8894 0.8894 0.8894
0.9183 0.6836 0.0513
0.9487 0.3670 0.6323
0.1250 0.7500 0.8750
0.2500 0.6250 0.3750
0.3750 0.2500 0.6250
0.6250 0.3750 0.2500
0.7500 0.8750 0.1250
0.8750 0.1250 0.7500
```

Computed properties:
E_tot in eV per formula unit: -257.42
Symmetry: I-43d, No. 220